! Mn2AlHO (PBE with a Hubbard U, optimized geometry); values from VASP
&SYSTEM
  ibrav = 0, nat = 5, ntyp = 4
/
ATOMIC_SPECIES
Mn 54.94 Mn.upf
Al 26.98 Al.upf
H 1.01 H.upf
O 16.00 O.upf
ATOMIC_POSITIONS angstrom
Mn 0.0000 2.0027 0.0000
Mn 2.0027 0.0000 0.0000
Al 0.0000 0.0000 2.3874
H 2.0027 2.0027 2.3874
O 2.0027 2.0027 0.0000
CELL_PARAMETERS angstrom
4.0055 0.0000 0.0000
0.0000 4.0055 0.0000
0.0000 0.0000 4.7748
! Total DFT energy (no corrections) in eV per atom: -5.274
! Space-group type: P4/mmm (123)
! Total magnetization in μB per formula unit: 8.9
! D(E_F) in states/eV/cell: 1.74